TlRu2Pb | Alexandria | PBE-GGA | optimized geometry; energy above the lowest structure with this stoichiometry = 56.4 kJ per mole of atoms; formation energy = 0.98 eV per atom; crystal system = tetragonal; spin magnetization = 2.63 Bohr magnetons per cell
1.0
-3.719 3.719 3.000
3.719 -3.719 3.000
3.719 3.719 -3.000
Tl Ru Pb
2 4 2
Cartesian
0.000 0.000 0.000
0.000 3.719 1.500
1.859 1.885 -0.750
5.552 1.859 0.750
1.859 1.833 2.250
-1.833 1.859 3.750
3.719 0.000 1.500
0.000 0.000 3.000